This record from Alexandria describes P2IrPb after structural relaxation. The functional is GGA-PBE.

Cell: 4.266 4.266 6.010 Å, 79.55 79.55 51.31°
Fractional positions:
P (0.783, 0.783, 0.827)
P (0.931, 0.931, 0.101)
Ir (0.231, 0.231, 0.099)
Pb (0.554, 0.554, 0.473)

Summary:
energy	-5.94	eV per atom

=====

This record from Alexandria describes MgVHgTe2 after structural relaxation. The functional is GGA-PBE.

Cell: 5.515 5.130 5.515 Å, 90.00 90.00 90.00°
Each line ends with the local moment (μB).
Fractional positions:
Mg (0.000, 0.000, 0.000)  0.00
Te (0.500, 0.000, 0.000)  -0.14
Te (0.000, 0.000, 0.500)  -0.14
V (0.500, 0.500, 0.500)  3.06
Hg (0.000, 0.500, 0.000)  0.01

Summary:
energy relative to the elements, uncorrected	487	meV/atom

=====

This record from Alexandria describes La2BeBr after structural relaxation. The functional is GGA-PBE.

Cell: 5.228 5.228 5.228 Å, 60.00 60.00 60.00°
Fractional positions:
Br (0.750, 0.750, 0.750)
La (0.250, 0.250, 0.250)
La (0.000, 0.000, 0.000)
Be (0.500, 0.500, 0.500)

Summary:
energy relative to the elements, uncorrected	253	meV/atom
offset from the most stable computed form	783	meV per atom

=====

This record from Alexandria describes K3Dy2ZrSe6 after structural relaxation. The functional is GGA-PBE.

Cell: 7.122 7.122 8.074 Å, 98.47 98.47 120.00°
Fractional positions:
Se (0.068, 0.390, 0.205)
Se (0.932, 0.610, 0.795)
Se (0.610, 0.932, 0.795)
Se (0.253, 0.253, 0.794)
Se (0.390, 0.068, 0.205)
Se (0.747, 0.747, 0.206)
Dy (0.334, 0.666, 0.000)
Dy (0.666, 0.334, 0.000)
K (0.830, 0.170, 0.500)
K (0.500, 0.500, 0.500)
K (0.170, 0.830, 0.500)
Zr (0.000, 0.000, 0.000)

Summary:
energy relative to the elements, uncorrected	-1595	meV/atom

=====

Which formula does entry 4 have? K3Dy2ZrSe6